The following is a meta-GGA SCAN calculation of BaCoRu at its PBEsol-relaxed geometry, from the Alexandria database.

Computed properties:
Mass density   7.6 Mg/m³
Energy of formation   1.22 eV per atom
Total magnetic moment   3.0 μB/cell

a = 4.512 Å, b = 4.512 Å, c = 4.512 Å
α = 60.00°, β = 60.00°, γ = 60.00°
Positions (direct):
Ba 0.000 0.000 0.000
Co 0.750 0.750 0.750
Ru 0.500 0.500 0.500